[1]
Mn2GePbO8: optimized geometry, PBE with a Hubbard U.

a = 4.607 Å, b = 6.186 Å, c = 4.617 Å
α = 90.00°, β = 91.23°, γ = 90.00°
Element x y z (fractional)
Mn1 0.000 0.238 0.000
Mn2 0.000 0.762 0.000
Ge1 0.500 0.000 0.500
Pb1 0.500 0.500 0.500
O1 0.175 0.500 0.828
O2 0.194 0.000 0.809
O3 0.298 0.223 0.301
O4 0.298 0.777 0.301
O5 0.702 0.223 0.699
O6 0.702 0.777 0.699
O7 0.806 0.000 0.191
O8 0.825 0.500 0.172

Summary:
The mass density is 6.54 g/cm3. As for the electronic total energy: -6.446 eV/atom. As for the space group: P2/m. For the magnetic moment, the calculation gives 0.51 μB per atom. Its volume is 11.0 Å³ per atom.



[2]
MnGe2Pb3O9: optimized geometry, PBE with a Hubbard U.

a = 5.516 Å, b = 5.516 Å, c = 6.757 Å
α = 90.00°, β = 90.00°, γ = 120.00°
Element x y z (fractional)
Mn1 0.000 0.000 0.000
Ge1 0.333 0.667 0.665
Ge2 0.667 0.333 0.335
Pb1 0.000 0.000 0.500
Pb2 0.333 0.667 0.163
Pb3 0.667 0.333 0.837
O1 0.000 0.500 0.500
O2 0.169 0.337 0.832
O3 0.169 0.831 0.832
O4 0.337 0.169 0.168
O5 0.500 0.000 0.500
O6 0.500 0.500 0.500
O7 0.663 0.831 0.832
O8 0.831 0.169 0.168
O9 0.831 0.663 0.168

Summary:
The mass density is 9.01 g/cm3. As for the electronic total energy: -6.073 eV/atom. As for the space group: P-3m1. For the magnetic moment, the calculation gives 0.21 μB per atom. Its volume is 11.9 Å³ per atom.



[3]
Mn2GePbO6: optimized geometry, PBE with a Hubbard U.

a = 5.937 Å, b = 5.937 Å, c = 5.937 Å
α = 52.46°, β = 52.46°, γ = 52.46°
Element x y z (fractional)
Mn1 0.000 0.000 0.000
Mn2 0.475 0.475 0.475
Ge1 0.680 0.680 0.680
Pb1 0.213 0.213 0.213
O1 0.054 0.406 0.760
O2 0.279 0.831 0.684
O3 0.406 0.760 0.054
O4 0.684 0.279 0.831
O5 0.760 0.054 0.406
O6 0.831 0.684 0.279

Summary:
The mass density is 6.62 g/cm3. As for the electronic total energy: -6.728 eV/atom. As for the space group: R3. For the magnetic moment, the calculation gives 0.80 μB per atom. Its volume is 12.2 Å³ per atom.



[4]
MnGe2Pb3O8: optimized geometry, PBE with a Hubbard U.

a = 5.753 Å, b = 5.753 Å, c = 7.267 Å
α = 90.00°, β = 90.00°, γ = 120.00°
Element x y z (fractional)
Mn1 0.000 0.000 0.000
Ge1 0.333 0.667 0.714
Ge2 0.667 0.333 0.286
Pb1 0.000 0.000 0.500
Pb2 0.333 0.667 0.173
Pb3 0.667 0.333 0.827
O1 0.166 0.332 0.799
O2 0.166 0.834 0.799
O3 0.332 0.166 0.201
O4 0.333 0.667 0.474
O5 0.667 0.333 0.526
O6 0.668 0.834 0.799
O7 0.834 0.166 0.201
O8 0.834 0.668 0.201

Summary:
The mass density is 7.57 g/cm3. As for the electronic total energy: -6.242 eV/atom. As for the space group: P-3m1. For the magnetic moment, the calculation gives 0.36 μB per atom. Its volume is 14.9 Å³ per atom.



[5]
MnGe2PdO6: optimized geometry, PBE with a Hubbard U.

a = 7.023 Å, b = 7.023 Å, c = 5.628 Å
α = 104.40°, β = 104.40°, γ = 84.40°
Element x y z (fractional)
Mn1 0.096 0.904 0.750
Mn2 0.904 0.096 0.250
Ge1 0.214 0.386 0.768
Ge2 0.386 0.214 0.268
Ge3 0.614 0.786 0.732
Ge4 0.786 0.614 0.232
Pd1 0.266 0.734 0.250
Pd2 0.734 0.266 0.750
O1 0.039 0.202 0.645
O2 0.128 0.629 0.884
O3 0.202 0.039 0.145
O4 0.328 0.403 0.522
O5 0.371 0.872 0.616
O6 0.403 0.328 0.022
O7 0.597 0.672 0.978
O8 0.629 0.128 0.384
O9 0.672 0.597 0.478
O10 0.798 0.961 0.855
O11 0.872 0.371 0.116
O12 0.961 0.798 0.355

Summary:
The mass density is 5.14 g/cm3. As for the electronic total energy: -6.470 eV/atom. As for the space group: C2/c. For the magnetic moment, the calculation gives 0.50 μB per atom. Its volume is 13.0 Å³ per atom.



[6]
Pm2MnGeO6: optimized geometry, PBE with a Hubbard U.

a = 5.314 Å, b = 5.314 Å, c = 4.859 Å
α = 90.00°, β = 90.00°, γ = 90.00°
Element x y z (fractional)
Pm1 0.000 0.500 0.000
Pm2 0.500 0.000 0.000
Mn1 0.000 0.000 0.552
Ge1 0.500 0.500 0.586
O1 0.000 0.000 0.134
O2 0.265 0.265 0.709
O3 0.265 0.735 0.709
O4 0.500 0.500 0.215
O5 0.735 0.265 0.709
O6 0.735 0.735 0.709

Summary:
The mass density is 6.22 g/cm3. As for the electronic total energy: -7.603 eV/atom. As for the space group: P4mm. For the magnetic moment, the calculation gives 0.50 μB per atom. Its volume is 13.7 Å³ per atom.



[7]
PmMn2GeO6: optimized geometry, PBE with a Hubbard U.

a = 5.751 Å, b = 5.751 Å, c = 5.751 Å
α = 54.49°, β = 54.49°, γ = 54.49°
Element x y z (fractional)
Pm1 0.000 0.000 0.000
Mn1 0.266 0.266 0.266
Mn2 0.793 0.793 0.793
Ge1 0.474 0.474 0.474
O1 0.076 0.644 0.448
O2 0.202 0.574 0.841
O3 0.448 0.076 0.644
O4 0.574 0.841 0.202
O5 0.644 0.448 0.076
O6 0.841 0.202 0.574

Summary:
The mass density is 6.00 g/cm3. As for the electronic total energy: -7.351 eV/atom. As for the space group: R3. For the magnetic moment, the calculation gives 0.70 μB per atom. Its volume is 11.7 Å³ per atom.



[8]
PmMnGeO5: optimized geometry, PBE with a Hubbard U.

a = 5.533 Å, b = 5.533 Å, c = 8.289 Å
α = 99.82°, β = 99.82°, γ = 109.87°
Element x y z (fractional)
Pm1 0.000 0.000 0.000
Pm2 0.000 0.000 0.500
Mn1 0.337 0.663 0.750
Mn2 0.663 0.337 0.250
Ge1 0.316 0.684 0.250
Ge2 0.684 0.316 0.750
O1 0.001 0.356 0.700
O2 0.133 0.867 0.750
O3 0.307 0.435 0.086
O4 0.356 0.001 0.200
O5 0.435 0.307 0.586
O6 0.565 0.693 0.414
O7 0.644 0.999 0.800
O8 0.693 0.565 0.914
O9 0.867 0.133 0.250
O10 0.999 0.644 0.300

Summary:
The mass density is 5.14 g/cm3. As for the electronic total energy: -7.251 eV/atom. As for the space group: C2/c. For the magnetic moment, the calculation gives 0.50 μB per atom. Its volume is 14.2 Å³ per atom.



[9]
PrMnGeO5: optimized geometry, PBE with a Hubbard U.

a = 5.725 Å, b = 5.817 Å, c = 7.056 Å
α = 106.46°, β = 99.18°, γ = 107.36°
Element x y z (fractional)
Pr1 0.149 0.308 0.280
Pr2 0.851 0.692 0.720
Mn1 0.500 0.000 0.000
Mn2 0.500 0.000 0.500
Ge1 0.196 0.338 0.766
Ge2 0.804 0.662 0.234
O1 0.076 0.742 0.441
O2 0.176 0.136 0.911
O3 0.227 0.651 0.918
O4 0.431 0.083 0.261
O5 0.440 0.332 0.636
O6 0.560 0.668 0.364
O7 0.569 0.917 0.739
O8 0.773 0.349 0.082
O9 0.824 0.864 0.089
O10 0.924 0.258 0.559

Summary:
The mass density is 5.58 g/cm3. As for the electronic total energy: -7.448 eV/atom. As for the space group: P-1. For the magnetic moment, the calculation gives 0.50 μB per atom. Its volume is 13.0 Å³ per atom.



[10]
PuMn2GeO8: optimized geometry, PBE with a Hubbard U.

a = 5.786 Å, b = 5.786 Å, c = 5.786 Å
α = 113.64°, β = 113.64°, γ = 101.43°
Element x y z (fractional)
Pu1 0.000 0.000 0.000
Mn1 0.250 0.750 0.500
Mn2 0.500 0.500 0.000
Ge1 0.750 0.250 0.500
O1 0.038 0.342 0.304
O2 0.038 0.734 0.696
O3 0.095 0.304 0.791
O4 0.266 0.962 0.304
O5 0.512 0.304 0.209
O6 0.658 0.962 0.696
O7 0.696 0.488 0.791
O8 0.696 0.905 0.209

Summary:
The mass density is 6.26 g/cm3. As for the electronic total energy: -7.693 eV/atom. As for the space group: I-4m2. For the magnetic moment, the calculation gives 0.83 μB per atom. Its volume is 12.2 Å³ per atom.



[11]
PuMnGeO6: optimized geometry, PBE with a Hubbard U.

a = 5.243 Å, b = 5.243 Å, c = 9.289 Å
α = 90.00°, β = 90.00°, γ = 120.00°
Element x y z (fractional)
Pu1 0.333 0.667 0.250
Pu2 0.667 0.333 0.750
Mn1 0.000 0.000 0.000
Mn2 0.000 0.000 0.500
Ge1 0.333 0.667 0.750
Ge2 0.667 0.333 0.250
O1 0.022 0.360 0.635
O2 0.022 0.662 0.865
O3 0.338 0.360 0.865
O4 0.338 0.978 0.635
O5 0.360 0.022 0.135
O6 0.360 0.338 0.365
O7 0.640 0.662 0.635
O8 0.640 0.978 0.865
O9 0.662 0.022 0.365
O10 0.662 0.640 0.135
O11 0.978 0.338 0.135
O12 0.978 0.640 0.365

Summary:
The mass density is 7.02 g/cm3. As for the electronic total energy: -8.173 eV/atom. As for the space group: P-31c. For the magnetic moment, the calculation gives 0.78 μB per atom. Its volume is 12.3 Å³ per atom.



[12]
RbMnGe2O6: optimized geometry, PBE with a Hubbard U.

a = 8.058 Å, b = 8.058 Å, c = 5.574 Å
α = 101.23°, β = 101.23°, γ = 98.45°
Element x y z (fractional)
Rb1 0.103 0.897 0.750
Rb2 0.897 0.103 0.250
Mn1 0.227 0.773 0.250
Mn2 0.773 0.227 0.750
Ge1 0.223 0.378 0.875
Ge2 0.378 0.223 0.375
Ge3 0.622 0.777 0.625
Ge4 0.777 0.622 0.125
O1 0.019 0.241 0.798
O2 0.227 0.597 0.979
O3 0.241 0.019 0.298
O4 0.288 0.363 0.582
O5 0.363 0.288 0.082
O6 0.403 0.773 0.521
O7 0.597 0.227 0.479
O8 0.637 0.712 0.918
O9 0.712 0.637 0.418
O10 0.759 0.981 0.702
O11 0.773 0.403 0.021
O12 0.981 0.759 0.202

Summary:
The mass density is 3.71 g/cm3. As for the electronic total energy: -6.319 eV/atom. As for the space group: C2/c. For the magnetic moment, the calculation gives 0.40 μB per atom. Its volume is 17.1 Å³ per atom.



[13]
MnGeRuO6: optimized geometry, PBE with a Hubbard U.

a = 4.500 Å, b = 4.500 Å, c = 9.247 Å
α = 90.00°, β = 90.00°, γ = 90.00°
Element x y z (fractional)
Mn1 0.000 0.000 0.000
Mn2 0.500 0.500 0.500
Ge1 0.000 0.000 0.335
Ge2 0.500 0.500 0.835
Ru1 0.000 0.000 0.668
Ru2 0.500 0.500 0.168
O1 0.193 0.193 0.498
O2 0.200 0.200 0.175
O3 0.204 0.204 0.831
O4 0.296 0.704 0.331
O5 0.300 0.700 0.675
O6 0.307 0.693 0.998
O7 0.693 0.307 0.998
O8 0.700 0.300 0.675
O9 0.704 0.296 0.331
O10 0.796 0.796 0.831
O11 0.800 0.800 0.175
O12 0.807 0.807 0.498

Summary:
The mass density is 5.76 g/cm3. As for the electronic total energy: -6.950 eV/atom. As for the space group: P4_2nm. For the magnetic moment, the calculation gives 0.33 μB per atom. Its volume is 10.4 Å³ per atom.



[14]
MnGe2SbO8: optimized geometry, PBE with a Hubbard U.

a = 5.597 Å, b = 5.597 Å, c = 5.597 Å
α = 109.36°, β = 109.36°, γ = 109.70°
Element x y z (fractional)
Mn1 0.000 0.000 0.000
Ge1 0.500 0.500 0.000
Ge2 0.750 0.250 0.500
Sb1 0.250 0.750 0.500
O1 0.309 0.115 0.806
O2 0.309 0.503 0.194
O3 0.359 0.049 0.310
O4 0.497 0.691 0.806
O5 0.740 0.049 0.690
O6 0.885 0.691 0.194
O7 0.951 0.260 0.310
O8 0.951 0.641 0.690

Summary:
The mass density is 5.54 g/cm3. As for the electronic total energy: -6.385 eV/atom. As for the space group: I-4m2. For the magnetic moment, the calculation gives 0.33 μB per atom. Its volume is 11.2 Å³ per atom.



[15]
Mn2GeSbO6: optimized geometry, PBE with a Hubbard U.

a = 5.278 Å, b = 5.278 Å, c = 4.924 Å
α = 90.00°, β = 90.00°, γ = 90.00°
Element x y z (fractional)
Mn1 0.000 0.500 0.000
Mn2 0.500 0.000 0.000
Ge1 0.000 0.000 0.615
Sb1 0.500 0.500 0.597
O1 0.000 0.000 0.261
O2 0.240 0.240 0.757
O3 0.240 0.760 0.757
O4 0.500 0.500 0.200
O5 0.760 0.240 0.757
O6 0.760 0.760 0.757

Summary:
The mass density is 4.85 g/cm3. As for the electronic total energy: -6.653 eV/atom. As for the space group: P4mm. For the magnetic moment, the calculation gives 0.99 μB per atom. Its volume is 13.7 Å³ per atom.



[16]
MnGeSbO6: optimized geometry, PBE with a Hubbard U.

a = 5.083 Å, b = 5.083 Å, c = 8.918 Å
α = 90.00°, β = 90.00°, γ = 120.00°
Element x y z (fractional)
Mn1 0.000 0.000 0.000
Mn2 0.000 0.000 0.500
Ge1 0.333 0.667 0.250
Ge2 0.667 0.333 0.750
Sb1 0.333 0.667 0.750
Sb2 0.667 0.333 0.250
O1 0.013 0.355 0.132
O2 0.013 0.658 0.368
O3 0.342 0.355 0.368
O4 0.342 0.987 0.132
O5 0.355 0.013 0.632
O6 0.355 0.342 0.868
O7 0.645 0.658 0.132
O8 0.645 0.987 0.368
O9 0.658 0.013 0.868
O10 0.658 0.645 0.632
O11 0.987 0.342 0.632
O12 0.987 0.645 0.868

Summary:
The mass density is 5.75 g/cm3. As for the electronic total energy: -6.542 eV/atom. As for the space group: P-31c. For the magnetic moment, the calculation gives 0.44 μB per atom. Its volume is 11.1 Å³ per atom.



[17]
Sc2MnGeO6: optimized geometry, PBE with a Hubbard U.

a = 5.624 Å, b = 5.624 Å, c = 5.624 Å
α = 55.99°, β = 55.99°, γ = 55.99°
Element x y z (fractional)
Sc1 0.000 0.000 0.000
Sc2 0.494 0.494 0.494
Mn1 0.216 0.216 0.216
Ge1 0.701 0.701 0.701
O1 0.069 0.437 0.792
O2 0.321 0.887 0.615
O3 0.437 0.792 0.069
O4 0.615 0.321 0.887
O5 0.792 0.069 0.437
O6 0.887 0.615 0.321

Summary:
The mass density is 4.56 g/cm3. As for the electronic total energy: -8.022 eV/atom. As for the space group: R3. For the magnetic moment, the calculation gives 0.50 μB per atom. Its volume is 11.4 Å³ per atom.



[18]
ScMn2GeO6: optimized geometry, PBE with a Hubbard U.

a = 5.145 Å, b = 5.150 Å, c = 5.563 Å
α = 62.46°, β = 89.97°, γ = 60.10°
Element x y z (fractional)
Sc1 0.000 0.000 0.000
Mn1 0.274 0.451 0.824
Mn2 0.799 0.401 0.400
Ge1 0.484 0.030 0.454
O1 0.092 0.499 0.198
O2 0.211 0.945 0.660
O3 0.407 0.897 0.196
O4 0.605 0.184 0.659
O5 0.695 0.211 0.197
O6 0.842 0.551 0.659

Summary:
The mass density is 4.97 g/cm3. As for the electronic total energy: -7.550 eV/atom. As for the space group: P1. For the magnetic moment, the calculation gives 0.70 μB per atom. Its volume is 10.8 Å³ per atom.



[19]
MnGeSeO2: optimized geometry, PBE with a Hubbard U.

a = 3.837 Å, b = 3.837 Å, c = 5.243 Å
α = 90.00°, β = 90.00°, γ = 90.00°
Element x y z (fractional)
Mn1 0.000 0.000 0.000
Ge1 0.500 0.500 0.500
Se1 0.000 0.000 0.500
O1 0.000 0.500 0.000
O2 0.500 0.000 0.000

Summary:
The mass density is 5.13 g/cm3. As for the electronic total energy: -5.582 eV/atom. As for the space group: P4/mmm. For the magnetic moment, the calculation gives 0.62 μB per atom. Its volume is 15.4 Å³ per atom.